# 1
CsBe2ZnB: optimized geometry, PBEsol.

Summary:
SG   P4/mmm (123)
VASP energy   -2.6233 eV/atom
DOS(E_F)   0.3242 states/eV per atom
ΔH_f (0 K)   885 meV per atom

Cell: 4.0282 4.0282 5.2348 Å, 90.00 90.00 90.00°
Positions (direct):
Cs: 0.0000 0.0000 0.0000
Be: 0.0000 0.5000 0.5000
Be: 0.5000 0.0000 0.5000
Zn: 0.5000 0.5000 0.0000
B: 0.5000 0.5000 0.5000


# 2
MgMn2As: optimized geometry, PBEsol.

Summary:
SG   Imm2 (44)
VASP energy   -6.4505 eV/atom
DOS(E_F)   0.6078 states/eV per atom
ΔH_f (0 K)   136 meV per atom

Cell: 4.8850 4.8850 4.8850 Å, 135.27 135.14 65.21°
Positions (direct):
Mg: 0.0000 0.0000 0.0000
Mn: 0.2502 0.7502 0.5000
Mn: 0.5004 0.5004 0.0000
As: 0.7498 0.2498 0.5000


# 3
BeAsIr4: optimized geometry, PBEsol.

Summary:
SG   F-43m (216)
VASP energy   -7.3905 eV/atom
DOS(E_F)   0.7573 states/eV per atom
ΔH_f (0 K)   676 meV per atom

Cell: 5.1157 5.1157 5.1157 Å, 60.00 60.00 60.00°
Positions (direct):
Be: 0.0000 0.0000 0.0000
As: 0.2500 0.2500 0.2500
Ir: 0.1243 0.6252 0.6252
Ir: 0.6252 0.1243 0.6252
Ir: 0.6252 0.6252 0.1243
Ir: 0.6252 0.6252 0.6252


# 4
HoAgTe2: optimized geometry, PBEsol.

Summary:
SG   P-42_1m (113)
VASP energy   -4.7111 eV/atom
E_form (uncorrected)   -0.88 eV per atom

Cell: 6.8896 6.8896 4.6771 Å, 90.00 90.00 90.00°
Positions (direct):
Ho: 0.0000 0.5000 0.1785
Ho: 0.5000 0.0000 0.8214
Ag: 0.0000 0.0000 0.0000
Ag: 0.5000 0.5000 0.0000
Te: 0.2026 0.2974 0.6982
Te: 0.2974 0.7974 0.3018
Te: 0.7026 0.2026 0.3018
Te: 0.7974 0.7026 0.6982


# 5
Cr8O21: optimized geometry, PBEsol.

Summary:
SG   P-1 (2)
VASP energy   -8.3038 eV/atom
DOS(E_F)   0.0473 states/eV per atom
E_form (uncorrected)   -1.68 eV per atom

Cell: 5.3521 6.5345 12.1683 Å, 75.08 88.79 77.46°
Positions (direct):
Cr: 0.1465 0.3578 0.4286
Cr: 0.2663 0.2382 0.9753
Cr: 0.2971 0.8339 0.3974
Cr: 0.3488 0.6238 0.7510
Cr: 0.6512 0.3762 0.2490
Cr: 0.7029 0.1661 0.6026
Cr: 0.7337 0.7618 0.0247
Cr: 0.8535 0.6422 0.5714
O: 0.0209 0.2101 0.9166
O: 0.0860 0.6589 0.4431
O: 0.1370 0.5630 0.6748
O: 0.1850 0.0657 0.4315
O: 0.1904 0.2956 0.0919
O: 0.2577 0.8680 0.7541
O: 0.3324 0.8721 0.2653
O: 0.3702 0.4102 0.3105
O: 0.3804 0.4525 0.8887
O: 0.4224 0.2857 0.5360
O: 0.5000 0.0000 0.0000
O: 0.5776 0.7143 0.4640
O: 0.6196 0.5475 0.1113
O: 0.6298 0.5898 0.6895
O: 0.6676 0.1279 0.7347
O: 0.7423 0.1320 0.2459
O: 0.8096 0.7044 0.9081
O: 0.8150 0.9343 0.5685
O: 0.8630 0.4370 0.3252
O: 0.9140 0.3411 0.5569
O: 0.9791 0.7899 0.0834


# 6
La2CoIrO6: optimized geometry, PBEsol.

Summary:
SG   P2_1/c (14)
VASP energy   -8.1356 eV/atom
E_form (uncorrected)   -2.16 eV per atom

Cell: 5.4336 5.5758 9.4395 Å, 90.00 124.90 90.00°
Positions (direct):
La: 0.2366 0.0568 0.2491
La: 0.2366 0.4432 0.7491
La: 0.7634 0.5568 0.2509
La: 0.7634 0.9432 0.7509
Co: 0.0000 0.0000 0.5000
Co: 0.0000 0.5000 0.0000
Ir: 0.5000 0.0000 0.0000
Ir: 0.5000 0.5000 0.5000
O: 0.1482 0.2102 0.9549
O: 0.1482 0.2898 0.4549
O: 0.2482 0.6974 0.9552
O: 0.2482 0.8026 0.4552
O: 0.3286 0.0135 0.7420
O: 0.3286 0.4865 0.2420
O: 0.6714 0.5135 0.7580
O: 0.6714 0.9865 0.2580
O: 0.7518 0.1974 0.5448
O: 0.7518 0.3026 0.0448
O: 0.8518 0.7102 0.5451
O: 0.8518 0.7898 0.0451


# 7
RbMn2Ni: optimized geometry, PBEsol.

Summary:
SG   Fm-3m (225)
VASP energy   -5.2358 eV/atom
DOS(E_F)   0.8349 states/eV per atom
ΔH_f (0 K)   1440 meV per atom

Cell: 4.6553 4.6553 4.6553 Å, 60.00 60.00 60.00°
Positions (direct):
Rb: 0.0000 0.0000 0.0000
Mn: 0.2500 0.2500 0.2500
Mn: 0.7500 0.7500 0.7500
Ni: 0.5000 0.5000 0.5000


# 8
CaNbSe2: optimized geometry, PBEsol.

Summary:
SG   I-42d (122)
VASP energy   -5.8317 eV/atom
DOS(E_F)   0.7701 states/eV per atom
E_form (uncorrected)   -0.67 eV per atom

Cell: 7.7820 7.7820 7.7820 Å, 135.31 135.31 65.05°
Positions (direct):
Ca: 0.0000 0.0000 0.0000
Ca: 0.7500 0.2500 0.5000
Nb: 0.2500 0.7500 0.5000
Nb: 0.5000 0.5000 0.0000
Se: 0.1703 0.6250 0.0453
Se: 0.3750 0.4203 0.5453
Se: 0.5797 0.1250 0.9547
Se: 0.8750 0.8297 0.4547


What did the first record say?
CsBe2ZnB: optimized geometry, PBEsol.

Summary:
SG   P4/mmm (123)
VASP energy   -2.6233 eV/atom
DOS(E_F)   0.3242 states/eV per atom
ΔH_f (0 K)   885 meV per atom

Cell: 4.0282 4.0282 5.2348 Å, 90.00 90.00 90.00°
Positions (direct):
Cs: 0.0000 0.0000 0.0000
Be: 0.0000 0.5000 0.5000
Be: 0.5000 0.0000 0.5000
Zn: 0.5000 0.5000 0.0000
B: 0.5000 0.5000 0.5000